(1)
Computed, not measured: an optimized crystal structure of EuYZnCo at the GGA-PBE level of DFT.

Summary:
For the density, the calculation gives 6.93 g/cm³. The total energy is -6.327 eV per atom. The energy of formation from the pure elements comes out at -0.19 eV/f.u. The magnetic moment is 6.30 μB per formula unit.

Unit cell a=4.9829 b=4.9829 c=4.9829 alpha=60.00 beta=60.00 gamma=60.00
Last column: nearest neighbours and their distance in Å.
Fractional coordinates of all 4 atoms:
Eu: 0.0000 0.0000 0.0000  4 Zn 3.05, 4 Co 3.05
Y: 0.5000 0.5000 0.5000  4 Zn 3.05, 4 Co 3.05
Zn: 0.7500 0.7500 0.7500  4 Eu 3.05, 4 Y 3.05
Co: 0.2500 0.2500 0.2500  4 Y 3.05, 4 Eu 3.05

---

(2)
Computed, not measured: an optimized crystal structure of Eu2Zn4Co at the GGA-PBE level of DFT.

Summary:
For the density, the calculation gives 6.26 g/cm³. The total energy is -4.760 eV per atom. The energy of formation from the pure elements comes out at -0.57 eV/f.u. The magnetic moment is 14.82 μB per formula unit.

Unit cell a=8.3991 b=8.3991 c=8.3991 alpha=148.01 beta=148.01 gamma=45.87
Last column: nearest neighbours and their distance in Å.
Fractional coordinates of all 7 atoms:
Eu: 0.1456 0.1456 0.0000  9 Zn 3.17-3.27
Eu: 0.8544 0.8544 0.0000  9 Zn 3.17-3.27
Zn: 0.0000 0.5000 0.5000  2 Co 2.31
Zn: 0.3503 0.3503 0.0000  1 Co 2.32
Zn: 0.5000 0.0000 0.5000  2 Co 2.31
Zn: 0.6497 0.6497 0.0000  1 Co 2.32
Co: 0.5000 0.5000 0.0000  6 Zn 2.31-2.32

---

(3)
Computed, not measured: an optimized crystal structure of EuZn3Co at the GGA-PBE level of DFT.

Summary:
For the density, the calculation gives 6.79 g/cm³. The total energy is -4.366 eV per atom. The energy of formation from the pure elements comes out at -0.63 eV/f.u. The magnetic moment is 6.96 μB per formula unit.

Unit cell a=4.6355 b=4.6355 c=4.6355 alpha=90.00 beta=90.00 gamma=90.00
Last column: nearest neighbours and their distance in Å.
Fractional coordinates of all 5 atoms:
Eu: 0.0000 0.0000 0.0000  12 Zn 3.28
Zn: 0.0000 0.5000 0.5000  2 Co 2.32
Zn: 0.5000 0.0000 0.5000  2 Co 2.32
Zn: 0.5000 0.5000 0.0000  2 Co 2.32
Co: 0.5000 0.5000 0.5000  6 Zn 2.32

---

(4)
Computed, not measured: an optimized crystal structure of Eu2ZnCo at the GGA-PBE level of DFT.

Summary:
For the density, the calculation gives 7.54 g/cm³. The total energy is -7.211 eV per atom. The energy of formation from the pure elements comes out at 0.08 eV/f.u. The magnetic moment is 13.16 μB per formula unit.

Unit cell a=3.5872 b=3.5872 c=7.3289 alpha=90.00 beta=90.00 gamma=90.00
Last column: nearest neighbours and their distance in Å.
Fractional coordinates of all 4 atoms:
Eu: 0.0000 0.0000 0.2294  4 Co 3.04, 4 Zn 3.22, 1 Eu 3.36
Eu: 0.0000 0.0000 0.7706  4 Co 3.04, 4 Zn 3.22, 1 Eu 3.36
Zn: 0.5000 0.5000 0.5000  8 Eu 3.22, 4 Zn 3.59
Co: 0.5000 0.5000 0.0000  8 Eu 3.04

---

(5)
Computed, not measured: an optimized crystal structure of EuZrCo4 at the GGA-PBE level of DFT.

Summary:
For the density, the calculation gives 9.00 g/cm³. The total energy is -7.881 eV per atom. The energy of formation from the pure elements comes out at -0.04 eV/f.u. The magnetic moment is 9.63 μB per formula unit.

Unit cell a=4.9999 b=4.9999 c=4.9999 alpha=60.00 beta=60.00 gamma=60.00
Last column: nearest neighbours and their distance in Å.
Fractional coordinates of all 6 atoms:
Eu: 0.0000 0.0000 0.0000  12 Co 2.93, 4 Zr 3.06
Zr: 0.7500 0.7500 0.7500  12 Co 2.93, 4 Eu 3.06
Co: 0.3758 0.3758 0.3758  6 Co 2.48-2.52
Co: 0.3758 0.3758 0.8727  6 Co 2.48-2.52
Co: 0.3758 0.8727 0.3758  6 Co 2.48-2.52
Co: 0.8727 0.3758 0.3758  6 Co 2.48-2.52

---

> Which value of energy of formation from the pure elements does entry 1 give?

-0.19 eV/f.u.